Below is crystalline Mg3MnGa at its relaxed geometry, with properties calculated at the GGA-PBEsol level.

Calculated values
SG   Pm-3m
Energy of formation   0.759 eV per atom
Density   2.574 g cm⁻³
Energy   -14.46 eV/cell

a b c (Å): 5.032 5.032 5.032
angles (deg): 90.00 90.00 90.00
Positions (direct):
Mn  0.000  0.000  0.000
Mg  0.000  0.500  0.000
Mg  0.000  0.000  0.500
Mg  0.500  0.000  0.000
Ga  0.500  0.500  0.500